Ag2HgBr SCAN single point on PBEsol structure; energy relative to the elements, uncorrected = 0.018 eV/atom; energy above the most stable polymorph in this dataset = 0 meV per atom; size of the total moment = 0.000 μB per cell
1.0
3.433 0.000 0.000
1.717 2.973 0.000
1.717 0.991 8.302
Hg Br Ag
1 1 2
direct
0.255 0.255 0.234
0.492 0.492 0.523
0.004 0.004 0.989
0.749 0.749 0.754



Ag2HgBr SCAN single point on PBEsol structure; energy relative to the elements, uncorrected = 0.102 eV/atom; energy above the most stable polymorph in this dataset = 84 meV per atom; size of the total moment = 0.000 μB per cell
1.0
4.881 0.000 0.000
-2.441 4.232 0.088
0.000 2.731 4.046
Ag Hg Br
2 1 1
direct
0.250 0.500 0.250
0.750 0.500 0.750
0.000 0.000 0.000
0.500 0.000 0.500



> Which value of size of the total moment does entry 2 give?

0.000 μB per cell